1.
Below is an optimized crystal structure of KYAg3, with properties calculated at the PBE level.

The structure in CIF format:
```
data_KYAg3
_symmetry_space_group_name_H-M 'P m -3 m'
_symmetry_Int_Tables_number 221
_symmetry_space_group_name_Hall '-P 4 2 3'
_cell_length_a 5.6811
_cell_length_b 5.6811
_cell_length_c 5.6811
_cell_angle_alpha 90.00
_cell_angle_beta 90.00
_cell_angle_gamma 90.00
loop_
_atom_site_label
_atom_site_type_symbol
_atom_site_fract_x
_atom_site_fract_y
_atom_site_fract_z
K1 K 0.0000 0.0000 0.0000
Y1 Y 0.5000 0.5000 0.5000
Ag1 Ag 0.0000 0.5000 0.5000
```

Values from the calculation:
N(E_F) in states/eV/f.u.: 2.99
Offset from the most stable computed form in meV/atom: 0.0
Magnetic moment in μB per atom: 0.00
Formation energy from the elements in eV/atom: 0.43


2.
Below is an optimized crystal structure of KYAg2, with properties calculated at the PBE level.

The structure in CIF format:
```
data_KYAg2
_symmetry_space_group_name_H-M 'C 1 2/m 1'
_symmetry_Int_Tables_number 12
_symmetry_space_group_name_Hall '-C 2y'
_cell_length_a 6.9473
_cell_length_b 3.9866
_cell_length_c 9.3396
_cell_angle_alpha 90.00
_cell_angle_beta 103.95
_cell_angle_gamma 90.00
loop_
_atom_site_label
_atom_site_type_symbol
_atom_site_fract_x
_atom_site_fract_y
_atom_site_fract_z
K1 K 0.0000 0.0000 0.0000
Y1 Y 0.0000 0.5000 0.5000
Ag1 Ag 0.2364 0.0000 0.7117
```

Values from the calculation:
N(E_F) in states/eV/f.u.: 2.32
Magnetic moment in μB per atom: 0.00
Formation energy from the elements in eV/atom: 0.07


3.
Below is an optimized crystal structure of KYAg2, with properties calculated at the PBE level.

The structure in CIF format:
```
data_KYAg2
_symmetry_space_group_name_H-M 'I -4 2 d'
_symmetry_Int_Tables_number 122
_symmetry_space_group_name_Hall 'I -4 2bw'
_cell_length_a 8.3033
_cell_length_b 8.3033
_cell_length_c 7.1554
_cell_angle_alpha 90.00
_cell_angle_beta 90.00
_cell_angle_gamma 90.00
loop_
_atom_site_label
_atom_site_type_symbol
_atom_site_fract_x
_atom_site_fract_y
_atom_site_fract_z
K1 K 0.0000 0.0000 0.0000
Y1 Y 0.0000 0.0000 0.5000
Ag1 Ag 0.2251 0.2500 0.6250
```

Values from the calculation:
N(E_F) in states/eV/f.u.: 4.51
Magnetic moment in μB per atom: 0.00
Formation energy from the elements in eV/atom: 0.32


4.
Below is an optimized crystal structure of KYAg2, with properties calculated at the PBE level.

The structure in CIF format:
```
data_KYAg2
_symmetry_space_group_name_H-M 'C m m m'
_symmetry_Int_Tables_number 65
_symmetry_space_group_name_Hall '-C 2 2'
_cell_length_a 7.8317
_cell_length_b 7.8415
_cell_length_c 3.4904
_cell_angle_alpha 90.00
_cell_angle_beta 90.00
_cell_angle_gamma 90.00
loop_
_atom_site_label
_atom_site_type_symbol
_atom_site_fract_x
_atom_site_fract_y
_atom_site_fract_z
K1 K 0.0000 0.0000 0.0000
Y1 Y 0.0000 0.5000 0.0000
Ag1 Ag 0.2500 0.2500 0.5000
```

Values from the calculation:
N(E_F) in states/eV/f.u.: 3.11
Magnetic moment in μB per atom: 0.00
Formation energy from the elements in eV/atom: 0.02


5.
Below is an optimized crystal structure of KYAg2, with properties calculated at the PBE level.

The structure in CIF format:
```
data_KYAg2
_symmetry_space_group_name_H-M 'I -4 m 2'
_symmetry_Int_Tables_number 119
_symmetry_space_group_name_Hall 'I -4 -2'
_cell_length_a 4.5067
_cell_length_b 4.5067
_cell_length_c 10.4013
_cell_angle_alpha 90.00
_cell_angle_beta 90.00
_cell_angle_gamma 90.00
loop_
_atom_site_label
_atom_site_type_symbol
_atom_site_fract_x
_atom_site_fract_y
_atom_site_fract_z
K1 K 0.0000 0.0000 0.0000
Y1 Y 0.0000 0.5000 0.7500
Ag1 Ag 0.0000 0.0000 0.5000
Ag2 Ag 0.0000 0.5000 0.2500
```

Values from the calculation:
N(E_F) in states/eV/f.u.: 3.03
Magnetic moment in μB per atom: 0.00
Formation energy from the elements in eV/atom: 0.22


6.
Below is an optimized crystal structure of KYAg2, with properties calculated at the PBE level.

The structure in CIF format:
```
data_KYAg2
_symmetry_space_group_name_H-M 'I m m 2'
_symmetry_Int_Tables_number 44
_symmetry_space_group_name_Hall 'I 2 -2'
_cell_length_a 3.4015
_cell_length_b 5.4369
_cell_length_c 11.6972
_cell_angle_alpha 90.00
_cell_angle_beta 90.00
_cell_angle_gamma 90.00
loop_
_atom_site_label
_atom_site_type_symbol
_atom_site_fract_x
_atom_site_fract_y
_atom_site_fract_z
K1 K 0.0000 0.0000 0.0000
Y1 Y 0.0000 0.5000 0.7990
Ag1 Ag 0.0000 0.0000 0.5306
Ag2 Ag 0.0000 0.5000 0.2327
```

Values from the calculation:
N(E_F) in states/eV/f.u.: 2.80
Magnetic moment in μB per atom: 0.00
Formation energy from the elements in eV/atom: 0.11